! Er4AgPd5 | Alexandria via LeMat-Bulk | PBE | relaxed; values from VASP
! DFT formation energy	-8.03	eV/f.u.
! energy	-5.509	eV per atom
! magnetic moment	0.0	μB/f.u.
&SYSTEM
  ibrav = 0, nat = 10, ntyp = 3
/
ATOMIC_SPECIES
Er 167.26 Er.upf
Pd 106.42 Pd.upf
Ag 107.87 Ag.upf
ATOMIC_POSITIONS crystal
Er 0.000 0.000 0.817
Pd 0.500 0.500 0.500
Pd 0.500 0.500 0.288
Er 0.000 0.000 0.183
Pd 0.500 0.500 0.712
Er 0.000 0.000 0.605
Ag 0.000 0.000 0.000
Pd 0.500 0.500 0.091
Er 0.000 0.000 0.395
Pd 0.500 0.500 0.909
CELL_PARAMETERS angstrom
-0.233 3.325 0.982
-2.488 0.525 -2.368
-11.535 -4.120 11.206